[1]
{"formula": "NaY2HS", "functional": "PBE", "state": "relaxed", "cell": [[5.447, 0.000, 0.000], [0.000, 4.683, 0.000], [0.000, 0.000, 5.447]], "species": ["Y", "Y", "Na", "H", "S"], "fractional_positions": [[0.000, 0.000, 0.500], [0.500, 0.000, 0.000], [0.000, 0.000, 0.000], [0.500, 0.500, 0.500], [0.000, 0.500, 0.000]], "spacegroup": "P4/mmm, No. 123", "total_energy_ev_per_atom": -3.557, "magmom_total_mub_per_cell": 0.00}

=====

[2]
{"formula": "Na2SbH", "functional": "PBE", "state": "relaxed", "cell": [[-0.849, 1.243, -2.816], [-2.554, -1.916, -0.076], [-4.253, 5.521, 3.719]], "species": ["Na", "Na", "H", "Sb"], "fractional_positions": [[0.000, 0.000, 0.189], [0.000, 0.000, 0.811], [0.500, 0.500, 0.000], [0.500, 0.500, 0.500]], "spacegroup": "P4/mmm, No. 123", "total_energy_ev_per_atom": -2.684, "magmom_total_mub_per_cell": 0.00}

=====

[3]
{"formula": "NaSb2H2", "functional": "PBE", "state": "relaxed", "cell": [[-2.153, 3.993, 0.637], [-7.404, -0.496, -5.438], [-2.283, 1.066, 2.071]], "species": ["Sb", "Sb", "H", "H", "Na"], "fractional_positions": [[0.337, 0.325, 0.002], [0.663, 0.675, 0.998], [0.444, 0.115, 0.998], [0.556, 0.885, 0.002], [0.000, 0.000, 0.000]], "spacegroup": "C2/m, No. 12", "total_energy_ev_per_atom": -3.169, "magmom_total_mub_per_cell": 0.00}

=====

[4]
{"formula": "NaSbH", "functional": "PBE", "state": "relaxed", "cell": [[4.196, 0.000, 0.000], [-2.098, 5.337, -0.357], [0.000, -3.607, 5.965]], "species": ["Na", "Na", "H", "H", "Sb", "Sb"], "fractional_positions": [[0.925, 0.850, 0.168], [0.075, 0.150, 0.832], [0.467, 0.933, 0.934], [0.533, 0.067, 0.066], [0.687, 0.373, 0.574], [0.313, 0.627, 0.426]], "spacegroup": "C2/m, No. 12", "total_energy_ev_per_atom": -3.080, "magmom_total_mub_per_cell": 0.00}

=====

[5]
{"formula": "NaSb2H2", "functional": "PBE", "state": "relaxed", "cell": [[4.190, 0.000, 0.000], [0.000, 4.190, 0.000], [2.095, 2.095, 5.173]], "species": ["H", "H", "Na", "Sb", "Sb"], "fractional_positions": [[0.250, 0.750, 0.500], [0.750, 0.250, 0.500], [0.000, 0.000, 0.000], [0.360, 0.360, 0.280], [0.640, 0.640, 0.720]], "spacegroup": "I4/mmm, No. 139", "total_energy_ev_per_atom": -2.837, "magmom_total_mub_per_cell": 0.00}

=====

[6]
{"formula": "NaSbH2", "functional": "PBE", "state": "relaxed", "cell": [[4.640, 0.000, 0.000], [0.000, 4.640, 0.000], [2.320, 2.320, 6.536]], "species": ["H", "H", "H", "H", "Sb", "Sb", "Na", "Na"], "fractional_positions": [[0.773, 0.125, 0.250], [0.875, 0.023, 0.750], [0.375, 0.227, 0.750], [0.977, 0.625, 0.250], [0.750, 0.250, 0.500], [0.000, 0.000, 0.000], [0.500, 0.500, 0.000], [0.250, 0.750, 0.500]], "spacegroup": "I-42d, No. 122", "total_energy_ev_per_atom": -2.807, "magmom_total_mub_per_cell": 0.00}

=====

[7]
{"formula": "Na2SbH", "functional": "PBE", "state": "relaxed", "cell": [[0.000, 3.617, 3.617], [3.617, 0.000, 3.617], [3.617, 3.617, 0.000]], "species": ["Sb", "H", "Na", "Na"], "fractional_positions": [[0.500, 0.500, 0.500], [0.000, 0.000, 0.000], [0.250, 0.250, 0.250], [0.750, 0.750, 0.750]], "spacegroup": "Fm-3m, No. 225", "total_energy_ev_per_atom": -2.235, "magmom_total_mub_per_cell": 0.70}

=====

[8]
{"formula": "Na2Sb3H4", "functional": "PBE", "state": "relaxed", "cell": [[-4.589, 1.156, -4.596], [-3.988, 0.665, 9.110], [-9.352, 8.102, 7.441]], "species": ["H", "H", "H", "H", "H", "H", "H", "H", "Sb", "Sb", "Sb", "Sb", "Sb", "Sb", "Na", "Na", "Na", "Na"], "fractional_positions": [[0.577, 0.691, 0.055], [0.182, 0.627, 0.578], [0.818, 0.373, 0.422], [0.423, 0.309, 0.945], [0.418, 0.663, 0.280], [0.899, 0.989, 0.418], [0.101, 0.011, 0.582], [0.582, 0.337, 0.720], [0.936, 0.336, 0.010], [0.789, 0.830, 0.850], [0.211, 0.170, 0.150], [0.280, 0.589, 0.458], [0.720, 0.411, 0.542], [0.064, 0.664, 0.990], [0.978, 0.726, 0.618], [0.377, 0.515, 0.701], [0.022, 0.274, 0.382], [0.623, 0.485, 0.299]], "spacegroup": "P-1, No. 2", "total_energy_ev_per_atom": -3.026, "magmom_total_mub_per_cell": 0.00}